Entry 1:
Entry from Alexandria via LeMat-Bulk: crystalline Cd4BiRh at its relaxed geometry (GGA-PBE).

* final energy: -29.9 eV per cell
* total moment: 0.000 μB/f.u.

Structure (POSCAR):
```
Cd4BiRh
1.0
5.124 -5.080 0.000
5.124 5.080 0.000
-5.112 0.000 5.377
Cd Bi Rh
8 2 2
Direct
0.000 0.000 0.203 Cd
0.000 0.000 0.797 Cd
0.203 0.504 0.207 Cd
0.297 0.297 0.796 Cd
0.496 0.797 0.793 Cd
0.504 0.203 0.207 Cd
0.703 0.703 0.204 Cd
0.797 0.496 0.793 Cd
0.000 0.500 0.500 Bi
0.500 0.000 0.500 Bi
0.249 0.751 0.000 Rh
0.751 0.249 0.000 Rh
```

Entry 2:
Entry from Alexandria via LeMat-Bulk: crystalline PbAuO2 at its relaxed geometry (GGA-PBE).

* final energy: -17.0 eV per cell
* total moment: 0.000 μB/f.u.

Structure (POSCAR):
```
PbAuO2
1.0
1.725 0.996 6.725
-1.725 0.996 6.725
0.000 -1.992 6.725
Pb Au O
1 1 2
Direct
0.000 0.000 0.000 Pb
0.500 0.500 0.500 Au
0.121 0.121 0.121 O
0.879 0.879 0.879 O
```

Entry 3:
Entry from Alexandria via LeMat-Bulk: crystalline KLiH2Pd at its relaxed geometry (GGA-PBE).

* final energy: -12.7 eV per cell
* total moment: 0.085 μB/f.u.

Structure (POSCAR):
```
KLiH2Pd
1.0
4.240 0.000 0.000
0.000 4.240 0.000
0.000 0.000 4.622
K Li H Pd
1 1 2 1
Direct
0.000 0.000 0.000 K
0.500 0.500 0.500 Li
0.000 0.500 0.500 H
0.500 0.000 0.500 H
0.500 0.500 0.000 Pd
```

Entry 4:
Entry from Alexandria via LeMat-Bulk: crystalline RbLa3Cl at its relaxed geometry (GGA-PBE).

* final energy: -18.8 eV per cell
* total moment: 0.000 μB/f.u.

Structure (POSCAR):
```
RbLa3Cl
1.0
5.749 0.000 0.000
0.000 5.749 0.000
0.000 0.000 5.749
Rb La Cl
1 3 1
Direct
0.000 0.000 0.000 Rb
0.000 0.500 0.500 La
0.500 0.000 0.500 La
0.500 0.500 0.000 La
0.500 0.500 0.500 Cl
```

Entry 5:
Entry from Alexandria via LeMat-Bulk: crystalline Ba2SrAsN at its relaxed geometry (GGA-PBE).

* final energy: -22.1 eV per cell
* total moment: 0.000 μB/f.u.

Structure (POSCAR):
```
Ba2SrAsN
1.0
5.489 0.000 0.000
0.000 5.489 0.000
0.000 0.000 5.148
Ba Sr As N
2 1 1 1
Direct
0.000 0.500 0.000 Ba
0.500 0.000 0.000 Ba
0.000 0.000 0.500 Sr
0.500 0.500 0.500 As
0.000 0.000 0.000 N
```

Entry 6:
Entry from Alexandria via LeMat-Bulk: crystalline GaFeSeN2 at its relaxed geometry (GGA-PBE).

* final energy: -28.3 eV per cell
* total moment: 0.018 μB/f.u.

Structure (POSCAR):
```
GaFeSeN2
1.0
3.656 0.000 0.000
0.000 3.656 0.000
0.000 0.000 5.279
Ga Fe Se N
1 1 1 2
Direct
0.000 0.000 0.000 Ga
0.500 0.500 0.500 Fe
0.500 0.500 0.000 Se
0.000 0.500 0.500 N
0.500 0.000 0.500 N
```

Entry 7:
Entry from Alexandria via LeMat-Bulk: crystalline Cd2CuAu8 at its relaxed geometry (GGA-PBE).

* final energy: -33.0 eV per cell
* total moment: 0.000 μB/f.u.

Structure (POSCAR):
```
Cd2CuAu8
1.0
7.338 -2.135 0.000
7.338 2.135 0.000
-2.048 0.000 6.359
Cd Cu Au
2 1 8
Direct
0.222 0.222 0.143 Cd
0.778 0.778 0.857 Cd
0.500 0.500 0.500 Cu
0.042 0.042 0.230 Au
0.135 0.135 0.674 Au
0.325 0.325 0.593 Au
0.410 0.410 0.066 Au
0.590 0.590 0.934 Au
0.675 0.675 0.407 Au
0.865 0.865 0.326 Au
0.958 0.958 0.770 Au
```

Entry 8:
Entry from Alexandria via LeMat-Bulk: crystalline BaNbI2O at its relaxed geometry (GGA-PBE).

* final energy: -19.7 eV per cell
* total moment: 3.767 μB/f.u.

Structure (POSCAR):
```
BaNbI2O
1.0
6.654 0.000 0.000
0.000 6.654 0.000
0.000 0.000 4.432
Ba Nb I O
1 1 2 1
Direct
0.000 0.000 0.000 Ba
0.500 0.500 0.500 Nb
0.000 0.500 0.000 I
0.500 0.000 0.000 I
0.000 0.000 0.500 O
```

Entry 9:
Entry from Alexandria via LeMat-Bulk: crystalline Ti2NbTc at its relaxed geometry (GGA-PBE).

* final energy: -37.3 eV per cell
* total moment: 0.000 μB/f.u.

Structure (POSCAR):
```
Ti2NbTc
1.0
-1.588 2.264 4.555
1.588 -2.264 4.555
1.588 2.264 -4.555
Ti Nb Tc
2 1 1
Direct
0.000 0.000 0.000 Ti
0.728 0.228 0.500 Ti
0.262 0.762 0.500 Nb
0.496 0.496 0.000 Tc
```

Entry 10:
Entry from Alexandria via LeMat-Bulk: crystalline Np2HgSb at its relaxed geometry (GGA-PBE).

* final energy: -30.0 eV per cell
* total moment: 9.084 μB/f.u.

Structure (POSCAR):
```
Np2HgSb
1.0
3.359 0.000 0.000
0.000 3.359 0.000
0.000 0.000 8.879
Np Hg Sb
2 1 1
Direct
0.000 0.000 0.243 Np
0.000 0.000 0.757 Np
0.500 0.500 0.500 Hg
0.500 0.500 0.000 Sb
```

Entry 11:
Entry from Alexandria via LeMat-Bulk: crystalline InTcW2 at its relaxed geometry (GGA-PBE).

* final energy: -70.5 eV per cell
* total moment: 0.000 μB/f.u.

Structure (POSCAR):
```
InTcW2
1.0
-3.767 3.767 2.696
3.767 -3.767 2.696
3.767 3.767 -2.696
In Tc W
2 2 4
Direct
0.000 0.000 0.000 In
0.750 0.250 0.500 In
0.250 0.750 0.500 Tc
0.500 0.500 0.000 Tc
0.181 0.125 0.556 W
0.375 0.819 0.944 W
0.569 0.625 0.444 W
0.875 0.431 0.056 W
```